First-principles (PBE+U) data for a relaxed structure of Li10Fe3Co7O20, as listed in Alexandria.

```
Li10Fe3Co7O20
1.0
-2.047 -1.969 -0.241
3.918 -4.171 0.794
-1.457 -0.975 20.373
Li Fe Co O
10 3 7 20
direct
0.000 0.300 0.901
0.500 0.500 0.000
0.000 0.700 0.099
0.500 0.902 0.198
0.000 0.099 0.299
0.500 0.298 0.399
0.000 0.500 0.500
0.500 0.702 0.601
0.000 0.901 0.701
0.500 0.098 0.802
0.000 0.000 0.500
0.000 0.600 0.299
0.000 0.400 0.701
0.500 0.000 0.000
0.000 0.200 0.099
0.500 0.399 0.199
0.500 0.800 0.399
0.500 0.200 0.601
0.500 0.601 0.801
0.000 0.800 0.901
0.500 0.025 0.905
0.000 0.774 0.996
0.000 0.226 0.004
0.500 0.426 0.104
0.500 0.975 0.095
0.000 0.627 0.202
0.000 0.174 0.194
0.500 0.367 0.295
0.500 0.832 0.303
0.000 0.572 0.396
0.000 0.025 0.403
0.500 0.770 0.495
0.500 0.230 0.505
0.000 0.428 0.604
0.000 0.975 0.597
0.500 0.168 0.697
0.500 0.633 0.705
0.000 0.373 0.798
0.000 0.826 0.806
0.500 0.574 0.896
```

Summary:
electronic total energy: -5.6999 eV/atom